A plane-wave DFT calculation with PBE-GGA was carried out for FeMoIr after structural relaxation. Values from VASP.

```
&SYSTEM
  ibrav = 0, nat = 3, ntyp = 3
/
ATOMIC_SPECIES
Ir 192.22 Ir.upf
Fe 55.84 Fe.upf
Mo 95.94 Mo.upf
ATOMIC_POSITIONS angstrom
Ir 6.264 3.616 2.557
Fe 4.176 2.411 1.705
Mo 0.000 0.000 0.000
CELL_PARAMETERS angstrom
4.176 0.000 0.000
2.088 3.616 0.000
2.088 1.205 3.409
```

**Polymorph energy (0 for the lowest one)**: 1.64 eV per formula unit
**Crystal system**: cubic
**Energy relative to the elements**: 1.34 eV/f.u.
**Theoretical density**: 11.1 Mg/m³